[1]
DFT (PBE) results for a relaxed MgTl2N crystal.

Cell lengths 4.9399, 4.9399, 4.9399 Å; angles 60.00, 60.00, 60.00 degrees
With the nearest neighbours (Å) after each atom.
Sites, in units of the cell vectors:
Tl (0.2500, 0.2500, 0.2500)  4 Mg 3.03, 4 N 3.03
Tl (0.7500, 0.7500, 0.7500)  4 Mg 3.03, 4 N 3.03
Mg (0.5000, 0.5000, 0.5000)  8 Tl 3.03
N (0.0000, 0.0000, 0.0000)  8 Tl 3.03


[2]
DFT (PBE) results for a relaxed MgTl3N crystal.

Cell lengths 5.0280, 5.0280, 5.0280 Å; angles 90.00, 90.00, 90.00 degrees
With the nearest neighbours (Å) after each atom.
Sites, in units of the cell vectors:
Tl (0.0000, 0.5000, 0.0000)  2 N 2.51
Tl (0.0000, 0.0000, 0.5000)  2 N 2.51
Tl (0.5000, 0.0000, 0.0000)  2 N 2.51
Mg (0.5000, 0.5000, 0.5000)  12 Tl 3.56
N (0.0000, 0.0000, 0.0000)  6 Tl 2.51


Number 1: final energy -10.798 eV per formula unit. Number 2: final energy -13.766 eV per formula unit.